Entry 1:
VASP calculation (PBE) on a relaxed YSiPd6 crystal.

Output
**Electronic total energy**: -5.786 eV/atom

The structure in POSCAR format:
```
YSiPd6
1.0
-1.2862 -4.1774 -3.5577
0.3483 -5.3606 1.7045
-5.6971 -2.9834 1.0988
Y Si Pd
1 1 6
Direct
0.5000 0.5000 0.5000
0.0000 0.0000 0.0000
0.9135 0.9135 0.7352
0.4378 0.9135 0.7352
0.0865 0.5622 0.2648
0.5622 0.0865 0.2648
0.0865 0.0865 0.2648
0.9135 0.4378 0.7352
```

=====

Entry 2:
VASP calculation (PBE) on a relaxed Y2SiPd2 crystal.

Output
**Electronic total energy**: -6.330 eV/atom

The structure in POSCAR format:
```
Y2SiPd2
1.0
5.5142 0.0000 0.0000
0.0000 5.5142 0.0000
2.7571 2.7571 3.7251
Y Si Pd
2 1 2
Direct
0.7500 0.2500 0.5000
0.2500 0.7500 0.5000
0.0000 0.0000 0.0000
0.3293 0.3293 0.3415
0.6707 0.6707 0.6585
```

=====

Entry 3:
VASP calculation (PBE) on a relaxed YSiPd crystal.

Output
**Electronic total energy**: -6.637 eV/atom

The structure in POSCAR format:
```
YSiPd
1.0
-5.2287 -1.8984 -0.7562
-3.0225 -4.3193 1.9297
-5.3545 0.1154 4.5024
Y Si Pd
2 2 2
Direct
0.4477 0.4477 0.7922
0.5523 0.5523 0.2078
0.1510 0.1510 0.7973
0.8490 0.8490 0.2027
0.8178 0.8178 0.6144
0.1822 0.1822 0.3856
```

=====

Entry 4:
VASP calculation (PBE) on a relaxed Y3Si4Pd2 crystal.

Output
**Electronic total energy**: -6.617 eV/atom

The structure in POSCAR format:
```
Y3Si4Pd2
1.0
4.2263 0.0000 0.0000
-2.1132 5.2098 -0.1176
0.0000 -2.2502 7.8954
Y Si Pd
3 4 2
Direct
0.6326 0.2652 0.6924
0.0000 0.0000 0.0000
0.3674 0.7348 0.3076
0.7229 0.4458 0.0622
0.2771 0.5542 0.9378
0.9149 0.8297 0.5807
0.0851 0.1703 0.4193
0.6642 0.3285 0.3284
0.3358 0.6715 0.6716
```

=====

Entry 5:
VASP calculation (PBE) on a relaxed Y2SiPd2 crystal.

Output
**Electronic total energy**: -6.262 eV/atom

The structure in POSCAR format:
```
Y2SiPd2
1.0
-3.4465 -1.4148 0.3403
0.6890 -0.8162 3.5854
-4.0939 6.0146 4.1077
Y Si Pd
2 1 2
Direct
0.3928 0.3928 0.2143
0.6072 0.6072 0.7857
0.0000 0.0000 0.0000
0.7500 0.2500 0.5000
0.2500 0.7500 0.5000
```

=====

Entry 6:
VASP calculation (PBE) on a relaxed Y2Si4Pd crystal.

Output
**Electronic total energy**: -5.734 eV/atom

The structure in POSCAR format:
```
Y2Si4Pd
1.0
-1.9623 -3.3074 2.4966
2.5938 -3.1346 -2.1140
5.5065 -2.4058 5.3512
Y Si Pd
2 4 1
Direct
0.6419 0.6419 0.7161
0.3581 0.3581 0.2839
0.8322 0.8322 0.3355
0.1678 0.1678 0.6645
0.0000 0.5000 0.0000
0.5000 0.0000 0.0000
0.0000 0.0000 0.0000
```

=====

Entry 7:
VASP calculation (PBE) on a relaxed YSi3Pd5 crystal.

Output
**Electronic total energy**: -6.118 eV/atom

The structure in POSCAR format:
```
YSi3Pd5
1.0
-0.7784 -3.0173 -2.3042
6.1224 -0.7899 2.2254
-4.4417 -6.4403 9.9339
Y Si Pd
2 6 10
Direct
0.8546 0.7092 0.7500
0.1454 0.2908 0.2500
0.3853 0.7707 0.9588
0.8813 0.7626 0.2500
0.3853 0.7707 0.5412
0.6147 0.2293 0.4588
0.1187 0.2374 0.7500
0.6147 0.2293 0.0412
0.7936 0.5872 0.4228
0.2064 0.4128 0.9228
0.0000 0.0000 0.5000
0.0000 0.0000 0.0000
0.4491 0.8982 0.1458
0.5509 0.1018 0.8542
0.5509 0.1018 0.6458
0.7936 0.5872 0.0772
0.2064 0.4128 0.5772
0.4491 0.8982 0.3542
```

=====

Entry 8:
VASP calculation (PBE) on a relaxed YSi4Pd8 crystal.

Output
**Electronic total energy**: -6.016 eV/atom

The structure in POSCAR format:
```
YSi4Pd8
1.0
5.2732 0.0000 0.0000
2.6366 6.1613 0.0000
2.6366 0.0000 6.1613
Y Si Pd
1 4 8
Direct
0.0000 0.0000 0.0000
0.0000 0.0000 0.5000
0.5000 0.0000 0.5000
0.0000 0.5000 0.0000
0.5000 0.5000 0.0000
0.0000 0.3299 0.6701
0.0000 0.6701 0.3299
0.3299 0.6701 0.6701
0.6701 0.3299 0.3299
0.5000 0.7759 0.2241
0.5000 0.2241 0.7759
0.2759 0.2241 0.2241
0.7241 0.7759 0.7759
```

=====

Entry 9:
VASP calculation (PBE) on a relaxed Y2Si5Pd3 crystal.

Output
**Electronic total energy**: -6.366 eV/atom

The structure in POSCAR format:
```
Y2Si5Pd3
1.0
5.5754 -0.0005 2.0355
3.0236 7.6114 0.3531
0.1633 -0.4114 8.1856
Y Si Pd
4 10 6
Direct
0.2675 0.8604 0.6048
0.2325 0.3952 0.1396
0.7325 0.1396 0.3952
0.7675 0.6048 0.8604
0.3478 0.0377 0.2667
0.1522 0.7333 0.9623
0.6522 0.9623 0.7333
0.8478 0.2667 0.0377
0.2500 0.2248 0.7752
0.7500 0.7752 0.2248
0.2500 0.5004 0.4996
0.7500 0.4996 0.5004
0.2500 0.7746 0.2254
0.7500 0.2254 0.7746
0.1119 0.2501 0.5270
0.3881 0.4730 0.7499
0.8881 0.7499 0.4730
0.6119 0.5270 0.2501
0.2500 0.0000 0.0000
0.7500 0.0000 0.0000
```

=====

Entry 10:
VASP calculation (PBE) on a relaxed YSi2Pd7 crystal.

Output
**Relative energy among the computed polymorphs**: 0.0 meV per atom

The structure in POSCAR format:
```
YSi2Pd7
1.0
3.9711 0.0000 -0.7641
-0.1470 3.9684 -0.7641
-0.0429 -0.0445 10.4782
Y Si Pd
1 2 7
Direct
0.0000 0.0000 0.0000
0.6756 0.6756 0.3512
0.3244 0.3244 0.6488
0.1081 0.6081 0.2161
0.3919 0.8919 0.7839
0.6081 0.1081 0.2161
0.5000 0.5000 0.0000
0.7500 0.2500 0.5000
0.8919 0.3919 0.7839
0.2500 0.7500 0.5000
```

=====

Entry 11:
VASP calculation (PBE) on a relaxed YSi3Pd10 crystal.

Output
**Electronic total energy**: -6.024 eV/atom

The structure in POSCAR format:
```
YSi3Pd10
1.0
7.5015 0.0000 4.3310
2.5005 7.0725 4.3310
0.0000 0.0000 8.6620
Y Si Pd
2 6 20
Direct
0.2500 0.2500 0.2500
0.7500 0.7500 0.7500
0.7347 0.7347 0.2653
0.7347 0.2653 0.7347
0.2653 0.7347 0.7347
0.2653 0.2653 0.7347
0.7347 0.2653 0.2653
0.2653 0.7347 0.2653
0.0000 0.0000 0.3441
0.0000 0.3441 0.0000
0.3441 0.0000 0.0000
0.6559 0.3441 0.0000
0.3840 0.3840 0.3840
0.1520 0.6160 0.6160
0.3840 0.8480 0.3840
0.6559 0.0000 0.3441
0.3840 0.3840 0.8480
0.8480 0.3840 0.3840
0.6160 0.6160 0.1520
0.0000 0.0000 0.6559
0.3441 0.6559 0.0000
0.0000 0.6559 0.3441
0.0000 0.3441 0.6559
0.6559 0.0000 0.0000
0.6160 0.6160 0.6160
0.0000 0.6559 0.0000
0.6160 0.1520 0.6160
0.3441 0.0000 0.6559
```

=====

Entry 12:
VASP calculation (PBE) on a relaxed YSi4Pd12 crystal.

Output
**Electronic total energy**: -5.784 eV/atom

The structure in POSCAR format:
```
YSi4Pd12
1.0
-3.4000 0.4895 6.3816
2.9685 -6.5788 -0.6574
5.1941 5.0413 -0.3629
Y Si Pd
1 4 12
Direct
0.0000 0.0000 0.0000
0.0000 0.5000 0.0000
0.5000 0.0000 0.0000
0.5000 0.5000 0.5000
0.0000 0.0000 0.5000
0.8349 0.3382 0.1732
0.3382 0.5033 0.1651
0.8268 0.1651 0.6618
0.3382 0.1732 0.8349
0.1732 0.8349 0.3382
0.6618 0.4967 0.8349
0.5033 0.1651 0.3382
0.4967 0.8349 0.6618
0.6618 0.8268 0.1651
0.8349 0.6618 0.4967
0.1651 0.3382 0.5033
0.1651 0.6618 0.8268
```